Record 1
Crystalline Mn6GaCo5 at its relaxed geometry. Source: the Alexandria database, functional PBE.

a = 4.079 Å, b = 5.774 Å, c = 6.451 Å
α = 90.00°, β = 108.42°, γ = 90.00°
Fractional coordinates of all 12 atoms:
Co: 0.335 0.000 0.670
Co: 0.000 0.500 0.000
Co: 0.665 0.000 0.330
Co: 0.666 0.500 0.331
Co: 0.334 0.500 0.669
Mn: 0.500 0.742 0.000
Mn: 0.500 0.258 0.000
Mn: 0.830 0.747 0.660
Mn: 0.170 0.747 0.340
Mn: 0.830 0.253 0.660
Mn: 0.170 0.253 0.340
Ga: 0.000 0.000 0.000

Results
The space-group type is Cmmm. As for the formation energy: -0.4 eV per formula unit. For the energy, the calculation gives -7.833 eV/atom. The spin magnetization comes out at 24.1 μB per formula unit.

***

Record 2
Crystalline MnGa2Co4 at its relaxed geometry. Source: the Alexandria database, functional PBE.

a = 5.143 Å, b = 5.143 Å, c = 5.143 Å
α = 85.65°, β = 122.54°, γ = 122.54°
Fractional coordinates of all 7 atoms:
Mn: 0.000 0.000 0.000
Co: 0.000 0.000 0.500
Co: 0.500 0.500 0.500
Co: 0.500 0.000 0.000
Co: 0.000 0.500 0.000
Ga: 0.500 0.000 0.500
Ga: 0.500 0.500 0.000

Results
The space-group type is I4/mmm. As for the formation energy: 0.4 eV per formula unit. For the energy, the calculation gives -6.177 eV/atom. The spin magnetization comes out at 8.7 μB per formula unit.

***

Record 3
Crystalline Mn2Ga3Co2 at its relaxed geometry. Source: the Alexandria database, functional PBE.

a = 3.533 Å, b = 2.671 Å, c = 9.276 Å
α = 90.00°, β = 79.02°, γ = 90.00°
Fractional coordinates of all 7 atoms:
Mn: 0.718 0.500 0.563
Mn: 0.282 0.500 0.437
Co: 0.573 0.500 0.854
Co: 0.427 0.500 0.146
Ga: 0.145 0.000 0.709
Ga: 0.000 0.000 0.000
Ga: 0.855 0.000 0.291

Results
The space-group type is Cmmm. As for the formation energy: -0.1 eV per formula unit. For the energy, the calculation gives -5.960 eV/atom. The spin magnetization comes out at 0.0 μB per formula unit.

***

Record 4
Crystalline MnGa2Co at its relaxed geometry. Source: the Alexandria database, functional PBE.

a = 6.664 Å, b = 6.664 Å, c = 5.393 Å
α = 51.84°, β = 51.84°, γ = 90.00°
Fractional coordinates of all 8 atoms:
Ga: 0.106 0.625 0.250
Ga: 0.375 0.356 0.750
Ga: 0.875 0.894 0.750
Ga: 0.644 0.125 0.250
Mn: 0.250 0.750 0.500
Mn: 0.500 0.500 0.000
Co: 0.750 0.250 0.500
Co: 0.000 0.000 0.000

Results
The space-group type is I-42d. As for the formation energy: 0.8 eV per formula unit. For the energy, the calculation gives -5.388 eV/atom. The spin magnetization comes out at 3.6 μB per formula unit.

***

Record 5
Crystalline NpMnGaCo at its relaxed geometry. Source: the Alexandria database, functional PBE.

a = 4.397 Å, b = 4.397 Å, c = 4.397 Å
α = 60.00°, β = 60.00°, γ = 60.00°
Fractional coordinates of all 4 atoms:
Mn: 0.250 0.250 0.250
Ga: 0.000 0.000 0.000
Co: 0.750 0.750 0.750
Np: 0.500 0.500 0.500

Results
The space-group type is F-43m. As for the formation energy: -0.1 eV per formula unit. For the energy, the calculation gives -8.098 eV/atom. The spin magnetization comes out at 1.3 μB per formula unit.

***

Fermi-level density of states, record by record: 10.05 8.08 6.57 8.92 5.18 states/eV per cell